Material: K2CoOs3O12
Method: DFT, PBE with a Hubbard U
State: optimized geometry

D(E_F): 7.43 states/eV/f.u.
Raw total energy: -6.71 eV per atom

```
18
Lattice="3.6203 2.0902 5.6372 -3.6203 2.0902 5.6372 0.0000 -4.1804 5.6372" Properties=species:S:1:pos:R:3 pbc="T T T"
K 0.0000 0.0000 2.1538
K 0.0000 0.0000 14.7577
Co 0.0000 0.0000 8.4558
Os -1.8102 -1.0451 5.6372
Os -1.8102 1.0451 11.2744
Os 0.0000 2.0902 5.6372
O 0.0000 -1.6121 5.2258
O -1.3961 0.8060 5.2258
O -1.3693 -0.7906 7.4044
O -1.3961 -0.8060 11.6857
O 0.0000 -1.5811 9.5071
O -1.3693 0.7906 9.5071
O 1.3693 -0.7906 7.4044
O 0.0000 1.5811 7.4044
O 1.3961 0.8060 5.2258
O 1.3693 0.7906 9.5071
O 1.3961 -0.8060 11.6857
O 0.0000 1.6121 11.6857
```